## A
VASP calculation (PBE) on a relaxed Ac4Co2N crystal.

As for the symmetry: I4/mmm (139).

a = 5.209 Å, b = 5.209 Å, c = 7.978 Å
α = 109.06°, β = 109.06°, γ = 90.00°
Sites, in units of the cell vectors:
N 0.000 0.000 0.000
Ac 0.500 0.000 0.000
Ac 0.192 0.192 0.383
Ac 0.000 0.500 0.000
Ac 0.808 0.808 0.617
Co 0.380 0.380 0.759
Co 0.620 0.620 0.241

## B
VASP calculation (PBE) on a relaxed Ac4Co2N crystal.

As for the symmetry: P2/m (10).

a = 4.116 Å, b = 6.924 Å, c = 8.421 Å
α = 124.42°, β = 90.00°, γ = 90.00°
Sites, in units of the cell vectors:
N 0.000 0.071 0.000
Ac 0.500 0.370 0.225
Ac 0.500 0.773 0.775
Ac 0.000 0.229 0.771
Ac 0.000 0.914 0.229
Co 0.500 0.923 0.526
Co 0.500 0.220 0.474

Going by the energies, B is most stable and the next is 0.064 eV/atom up.

## A
VASP calculation (PBE) on a relaxed Ac3NdCo crystal.

As for the symmetry: Pm-3m (221).

a = 5.703 Å, b = 5.703 Å, c = 5.703 Å
α = 90.00°, β = 90.00°, γ = 90.00°
Sites, in units of the cell vectors:
Ac 0.500 0.000 0.000
Ac 0.000 0.500 0.000
Ac 0.000 0.000 0.500
Co 0.000 0.000 0.000
Nd 0.500 0.500 0.500

## B
VASP calculation (PBE) on a relaxed Ac3NdCo crystal.

As for the symmetry: C2/m (12).

a = 7.775 Å, b = 7.775 Å, c = 7.820 Å
α = 111.74°, β = 109.83°, γ = 106.63°
Sites, in units of the cell vectors:
Co 0.397 0.247 0.644
Co 0.603 0.753 0.356
Ac 0.170 0.961 0.714
Ac 0.830 0.039 0.286
Ac 0.247 0.457 0.286
Ac 0.753 0.543 0.714
Ac 0.292 0.543 0.835
Ac 0.708 0.457 0.165
Nd 0.699 0.037 0.736
Nd 0.301 0.963 0.264

Going by the energies, B is most stable and the next is 0.098 eV/atom up.

## A
VASP calculation (PBE) on a relaxed Ac2NdCo crystal.

As for the symmetry: R-3m (166).

a = 4.019 Å, b = 4.019 Å, c = 10.028 Å
α = 78.44°, β = 78.44°, γ = 60.00°
Sites, in units of the cell vectors:
Co 0.000 0.000 0.000
Nd 0.500 0.500 0.500
Ac 0.276 0.276 0.171
Ac 0.724 0.724 0.829

## B
VASP calculation (PBE) on a relaxed Ac2NdCo crystal.

As for the symmetry: Immm (71).

a = 4.219 Å, b = 5.554 Å, c = 7.011 Å
α = 113.32°, β = 107.48°, γ = 90.00°
Sites, in units of the cell vectors:
Co 0.500 0.009 0.000
Ac 0.841 0.850 0.682
Ac 0.159 0.168 0.318
Nd 0.500 0.509 0.000

## C
VASP calculation (PBE) on a relaxed Ac2NdCo crystal.

As for the symmetry: P4/mmm (123).

a = 3.724 Å, b = 3.724 Å, c = 9.402 Å
α = 90.00°, β = 90.00°, γ = 90.00°
Site moments in Bohr magnetons follow the coordinates.
Sites, in units of the cell vectors:
Co 0.500 0.500 0.000  1.22
Nd 0.500 0.500 0.500  0.20
Ac 0.000 0.000 0.191  -0.03
Ac 0.000 0.000 0.809  -0.03

Going by the energies, B is most stable and the next is 0.088 eV/atom up.

## A
VASP calculation (PBE) on a relaxed Ac2NdCo2 crystal.

As for the symmetry: Immm (71).

a = 4.263 Å, b = 5.708 Å, c = 6.933 Å
α = 114.31°, β = 107.91°, γ = 90.00°
Sites, in units of the cell vectors:
Co 0.643 0.143 0.286
Co 0.357 0.857 0.714
Ac 0.676 0.676 0.352
Ac 0.324 0.324 0.648
Nd 0.000 0.000 0.000

## B
VASP calculation (PBE) on a relaxed Ac2NdCo2 crystal.

As for the symmetry: P4/mbm (127).

a = 7.727 Å, b = 7.727 Å, c = 8.920 Å
α = 90.00°, β = 90.00°, γ = 90.00°
Site moments in Bohr magnetons follow the coordinates.
Sites, in units of the cell vectors:
Co 0.604 0.104 0.250  0.16
Co 0.104 0.396 0.250  0.16
Co 0.104 0.396 0.750  0.16
Co 0.896 0.604 0.750  0.16
Co 0.604 0.104 0.750  0.16
Co 0.396 0.896 0.250  0.16
Co 0.396 0.896 0.750  0.16
Co 0.896 0.604 0.250  0.16
Ac 0.675 0.825 0.500  -0.02
Ac 0.825 0.325 0.500  -0.02
Ac 0.175 0.675 0.000  -0.02
Ac 0.675 0.825 0.000  -0.02
Ac 0.325 0.175 0.500  -0.02
Ac 0.325 0.175 0.000  -0.02
Ac 0.825 0.325 0.000  -0.02
Ac 0.175 0.675 0.500  -0.02
Nd 0.000 0.000 0.750  -0.03
Nd 0.500 0.500 0.250  -0.03
Nd 0.000 0.000 0.250  -0.03
Nd 0.500 0.500 0.750  -0.03

Going by the energies, A is most stable and the next is 0.021 eV/atom up.

## A
VASP calculation (PBE) on a relaxed AcNd2Co2 crystal.

As for the symmetry: Cmmm (65).

a = 4.074 Å, b = 3.994 Å, c = 8.528 Å
α = 103.54°, β = 90.00°, γ = 90.00°
Site moments in Bohr magnetons follow the coordinates.
Sites, in units of the cell vectors:
Nd 0.500 0.344 0.688  -0.12
Nd 0.500 0.656 0.312  -0.12
Co 0.000 0.782 0.563  0.83
Co 0.000 0.218 0.437  0.83
Ac 0.000 0.000 0.000  -0.05

## B
VASP calculation (PBE) on a relaxed AcNd2Co2 crystal.

As for the symmetry: C2/m (12).

a = 3.906 Å, b = 5.837 Å, c = 6.289 Å
α = 104.49°, β = 108.09°, γ = 90.00°
Site moments in Bohr magnetons follow the coordinates.
Sites, in units of the cell vectors:
Nd 0.650 0.588 0.300  -0.04
Nd 0.350 0.412 0.700  -0.04
Co 0.731 0.100 0.461  0.25
Co 0.269 0.900 0.539  0.25
Ac 0.000 0.000 0.000  -0.02

Going by the energies, A is most stable and the next is 0.065 eV/atom up.

## A
VASP calculation (PBE) on a relaxed Ac4CoNi2 crystal.

As for the symmetry: I4/mmm (139).

a = 5.731 Å, b = 5.731 Å, c = 7.881 Å
α = 111.32°, β = 111.32°, γ = 90.00°
Sites, in units of the cell vectors:
Co 0.000 0.000 0.000
Ni 0.414 0.414 0.827
Ni 0.586 0.586 0.173
Ac 0.209 0.209 0.419
Ac 0.500 0.000 0.000
Ac 0.000 0.500 0.000
Ac 0.791 0.791 0.581

## B
VASP calculation (PBE) on a relaxed Ac4CoNi2 crystal.

As for the symmetry: P2/m (10).

a = 4.218 Å, b = 7.008 Å, c = 8.815 Å
α = 123.95°, β = 90.00°, γ = 90.00°
Sites, in units of the cell vectors:
Co 0.000 0.071 0.000
Ac 0.000 0.231 0.758
Ac 0.500 0.758 0.766
Ac 0.000 0.912 0.242
Ac 0.500 0.385 0.234
Ni 0.500 0.245 0.505
Ni 0.500 0.898 0.495

Going by the energies, B is most stable and the next is 0.149 eV/atom up.

## A
VASP calculation (PBE) on a relaxed AcCoNi crystal.

As for the symmetry: P-6m2 (187).

a = 4.262 Å, b = 4.079 Å, c = 4.079 Å
α = 120.00°, β = 90.00°, γ = 90.00°
Site moments in Bohr magnetons follow the coordinates.
Sites, in units of the cell vectors:
Ac 0.667 0.333 0.667  -0.02
Ni 0.167 0.000 0.000  0.04
Co 0.167 0.667 0.333  0.19

## B
VASP calculation (PBE) on a relaxed AcCoNi crystal.

As for the symmetry: Immm (71).

a = 4.073 Å, b = 5.918 Å, c = 5.918 Å
α = 73.12°, β = 69.87°, γ = 69.87°
Site moments in Bohr magnetons follow the coordinates.
Sites, in units of the cell vectors:
Co 0.000 0.840 0.160  0.40
Co 0.000 0.160 0.840  0.40
Ni 0.500 0.672 0.328  0.02
Ni 0.500 0.328 0.672  0.02
Ac 0.751 0.749 0.749  -0.04
Ac 0.249 0.251 0.251  -0.04

## C
VASP calculation (PBE) on a relaxed AcCoNi crystal.

As for the symmetry: P2_1/c (14).

a = 6.049 Å, b = 6.167 Å, c = 7.378 Å
α = 118.73°, β = 90.00°, γ = 90.00°
Site moments in Bohr magnetons follow the coordinates.
Sites, in units of the cell vectors:
Co 0.362 0.760 0.934  1.12
Co 0.638 0.240 0.066  1.12
Co 0.138 0.760 0.434  1.12
Co 0.862 0.240 0.566  1.12
Ac 0.629 0.799 0.617  -0.10
Ac 0.371 0.201 0.383  -0.10
Ac 0.871 0.799 0.117  -0.10
Ac 0.129 0.201 0.883  -0.10
Ni 0.912 0.389 0.324  0.34
Ni 0.588 0.389 0.824  0.34
Ni 0.088 0.611 0.676  0.34
Ni 0.412 0.611 0.176  0.34

Going by the energies, B is most stable and the next is 0.016 eV/atom up.

## A
VASP calculation (PBE) on a relaxed AcPrCoNi crystal.

As for the symmetry: F-43m (216).

a = 5.054 Å, b = 5.054 Å, c = 5.054 Å
α = 60.00°, β = 60.00°, γ = 60.00°
Sites, in units of the cell vectors:
Ac 0.750 0.750 0.750
Co 0.500 0.500 0.500
Pr 0.250 0.250 0.250
Ni 0.000 0.000 0.000

## B
VASP calculation (PBE) on a relaxed AcPrCoNi crystal.

As for the symmetry: R3m (160).

a = 4.059 Å, b = 4.059 Å, c = 7.840 Å
α = 90.02°, β = 104.99°, γ = 120.00°
Sites, in units of the cell vectors:
Pr 0.005 0.867 0.871
Ni 0.836 0.283 0.118
Co 0.502 0.616 0.118
Ac 0.350 0.040 0.389

Going by the energies, B is most stable and the next is 0.157 eV/atom up.